# 1
Crystalline TbMnO2 at its relaxed geometry. Source: Alexandria via LeMat-Bulk, functional PBE+U.

```
TbMnO2
1.0
1.7989 1.0386 5.9080
-1.7989 1.0386 5.9080
0.0000 -2.0772 5.9080
Tb Mn O
1 1 2
direct
0.0000 0.0000 0.0000
0.5000 0.5000 0.5000
0.3914 0.3914 0.3914
0.6086 0.6086 0.6086
```

Values from the calculation:
M_tot, μB/f.u.: 4.00
E, eV per atom: -7.926

# 2
Crystalline TbMn2O6 at its relaxed geometry. Source: Alexandria via LeMat-Bulk, functional PBE+U.

```
TbMn2O6
1.0
6.0240 0.0000 0.0000
-3.0120 5.2169 0.0000
0.0000 0.0000 3.0102
Tb Mn O
1 2 6
direct
0.0000 0.0000 0.0000
0.3333 0.6667 0.8025
0.6667 0.3333 0.1975
0.1246 0.7235 0.2797
0.2765 0.4010 0.2797
0.4010 0.1246 0.7203
0.5990 0.8754 0.2797
0.7235 0.5990 0.7203
0.8754 0.2765 0.7203
```

Values from the calculation:
M_tot, μB/f.u.: 5.00
Distance to the lowest polymorph of the same formula, eV/atom: 0.5971